Below is a geometry-optimized CsMnBiO4 structure, with properties calculated at the GGA+U level.

a = 6.264 Å, b = 6.152 Å, c = 7.996 Å
α = 90.00°, β = 110.48°, γ = 90.00°
Atoms (fractional coordinates):
Cs 0.201 0.250 0.447
Cs 0.799 0.750 0.553
Mn 0.230 0.750 0.157
Mn 0.770 0.250 0.843
Bi 0.304 0.250 0.978
Bi 0.696 0.750 0.022
O 0.004 0.750 0.942
O 0.040 0.750 0.280
O 0.438 0.531 0.175
O 0.438 0.969 0.175
O 0.562 0.031 0.825
O 0.562 0.469 0.825
O 0.960 0.250 0.720
O 0.996 0.250 0.058

Calculated density = 5301 kg/m3
Space-group type = No. 11
Final energy = -82.0 eV/cell